Computed, not measured: a relaxed structure of LiTbSc at the PBE level of DFT.

Computed properties:
calculated total energy: -25.23 eV/cell
total magnetization: 0.00 Bohr magnetons per cell
polymorph energy (0 for the lowest one): 0.000 eV per atom
DFT formation energy: 0.087 eV/atom

a b c (Å): 3.499 3.499 12.264
angles (deg): 90.00 90.00 90.00
Space group P4/nmm (No. 129, origin choice 2)
Unique sites:
Li  0.250  0.250  0.057 [2 per cell]
Tb  0.250  0.250  0.393 [2 per cell]
Sc  0.250  0.250  0.789 [2 per cell]